[1]
A plane-wave DFT calculation with GGA-PBE was carried out for a relaxed GaTcBi2S crystal.

Output
For the density of states at the Fermi level, the calculation gives 3.6 states/eV/f.u. Its size of the total moment is 3.31 Bohr magnetons per cell. As for the formation energy (no corrections): 4.76 eV/f.u. For the final energy, the calculation gives -20.518 eV per cell. Its calculated density is 7.5 g cm⁻³.

abc: 5.343 5.343 4.792
angles: 90.00 90.00 90.00
Space group P4/mmm (No. 123)
Asymmetric unit:
Ga 0.000 0.000 0.000 [1 per cell]
Tc 0.500 0.500 0.000 [1 per cell]
Bi 0.000 0.500 0.500 [2 per cell]
S 0.000 0.000 0.500 [1 per cell]


[2]
A plane-wave DFT calculation with GGA-PBE was carried out for a relaxed Zr2GaBiS crystal.

Output
For the density of states at the Fermi level, the calculation gives 3.9 states/eV/f.u. Its size of the total moment is 0.00 Bohr magnetons per cell. As for the formation energy (no corrections): -0.14 eV/f.u. For the final energy, the calculation gives -28.275 eV per cell. Its calculated density is 6.4 g cm⁻³.

abc: 4.834 4.834 5.447
angles: 90.00 90.00 90.00
Space group P4/mmm (No. 123)
Asymmetric unit:
Zr 0.000 0.500 0.000 [2 per cell]
Ga 0.000 0.000 0.500 [1 per cell]
Bi 0.500 0.500 0.500 [1 per cell]
S 0.500 0.500 0.000 [1 per cell]


[3]
A plane-wave DFT calculation with GGA-PBE was carried out for a relaxed Ga2BiSb crystal.

Output
For the density of states at the Fermi level, the calculation gives 1.8 states/eV/f.u. Its size of the total moment is 0.00 Bohr magnetons per cell. As for the formation energy (no corrections): 0.40 eV/f.u. For the final energy, the calculation gives -13.658 eV per cell. Its calculated density is 7.9 g cm⁻³.

abc: 3.824 3.824 6.798
angles: 90.00 90.00 90.00
Space group P4/mmm (No. 123)
Asymmetric unit:
Ga 0.000 0.000 0.227 [2 per cell]
Bi 0.500 0.500 0.500 [1 per cell]
Sb 0.500 0.500 0.000 [1 per cell]


- Look up the formation energy (no corrections) of the second one.
  -0.14 eV/f.u.


- What is the final energy in the second record?
  -28.275 eV per cell


- Among the records above, which one has the highest calculated density?
  Ga2BiSb